# YMo2Os PBE relaxed
# - calculated volume (Å³/cell) = 70.1
# - DOS(E_F) (states/eV/atom) = 0.601
# - magnetic moment (Bohr magnetons per cell) = 0.00
# - calculated total energy (eV/cell) = -38.0
# - energy relative to the lowest polymorph listed for this composition (meV/atom) = 150
data_YMo2Os
_space_group_name_H-M_alt 'P 1 2/m 1'
_space_group_IT_number 10
_space_group_name_Hall '-P 2y'
_cell_length_a 2.909
_cell_length_b 4.552
_cell_length_c 5.402
_cell_angle_alpha 90.00
_cell_angle_beta 101.53
_cell_angle_gamma 90.00
loop_
_atom_site_label
_atom_site_type_symbol
_atom_site_fract_x
_atom_site_fract_y
_atom_site_fract_z
Y1 Y 0.000 0.000 0.000
Mo1 Mo 0.255 0.500 0.734
Os1 Os 0.500 0.000 0.500